A geometry-optimized Ir2BrCl structure. Source: the Alexandria database, functional PBE-GGA.

Output
Volume: 17.552 Å³ per atom
Magnetization: 0.00 μB per formula unit
Raw formation energy: 26.63 kcal/mol of atoms
Relative energy among the computed polymorphs: 944 meV per atom

Unit cell a=6.7329 b=6.7329 c=6.1952 alpha=90.00 beta=90.00 gamma=90.00
Space group I-42d (No. 122)
Symmetry-distinct sites (fractional):
Ir1 0.2419 0.7500 0.1250 (multiplicity 8)
Br1 0.0000 0.0000 0.5000 (multiplicity 4)
Cl1 0.0000 0.0000 0.0000 (multiplicity 4)

***

A geometry-optimized Ir2BrCl structure. Source: the Alexandria database, functional PBE-GGA.

Output
Volume: 24.175 Å³ per atom
Magnetization: 2.05 μB per formula unit
Raw formation energy: 4.85 kcal/mol of atoms
Relative energy among the computed polymorphs: 0 meV per atom

Unit cell a=3.6841 b=3.6841 c=24.6811 alpha=90.00 beta=90.00 gamma=120.00
Space group R3m (No. 160, hexagonal axes)
Symmetry-distinct sites (fractional):
Ir1 0.0000 0.0000 0.0000 (multiplicity 3)
Ir2 0.0000 0.0000 0.2818 (multiplicity 3)
Br1 0.0000 0.0000 0.7342 (multiplicity 3)
Cl1 0.0000 0.0000 0.5541 (multiplicity 3)